(A)
## K3BaMo (PBE)

Data for an optimized crystal structure of K3BaMo.

- Magnetic moment: 4.6 μB per formula unit

Cell lengths 6.8717, 6.8717, 6.8717 Å; angles 90.00, 90.00, 90.00 degrees
Closest atoms and distances in Å follow each position.
Space group Pm-3m (No. 221)
Symmetry-distinct sites (fractional):
K 0.0000 0.0000 0.5000 (multiplicity 3)  2 Mo 3.44
Ba 0.5000 0.5000 0.5000 (multiplicity 1)  12 K 4.86
Mo 0.0000 0.0000 0.0000 (multiplicity 1)  6 K 3.44

(B)
## K3BaMo (PBE)

Data for an optimized crystal structure of K3BaMo.

- Magnetic moment: 6.9 μB per formula unit

Cell lengths 7.9164, 7.9164, 7.9164 Å; angles 90.00, 90.00, 90.00 degrees
Closest atoms and distances in Å follow each position.
Space group Pm-3m (No. 221)
Symmetry-distinct sites (fractional):
K 0.0000 0.0000 0.5000 (multiplicity 3)  2 Ba 3.96
Ba 0.0000 0.0000 0.0000 (multiplicity 1)  6 K 3.96
Mo 0.5000 0.5000 0.5000 (multiplicity 1)  12 K 5.60

Top of the stability list: (A), leading by 523 meV/atom.

(A)
## KBaMo (PBE)

Data for an optimized crystal structure of KBaMo.

- Magnetic moment: 3.6 μB per formula unit

Cell lengths 5.9470, 5.9470, 3.7034 Å; angles 90.00, 90.00, 120.00 degrees
Closest atoms and distances in Å follow each position.
Space group P3m1 (No. 156)
Symmetry-distinct sites (fractional):
K 0.0000 0.0000 0.0000 (multiplicity 1)  3 Mo 3.61, 3 Ba 3.68, 2 K 3.70
Ba 0.3333 0.6667 0.6419 (multiplicity 1)  3 Mo 3.65, 3 K 3.68, 2 Ba 3.70
Mo 0.6667 0.3333 0.3042 (multiplicity 1)  3 K 3.61, 3 Ba 3.65, 2 Mo 3.70

(B)
## KBaMo (PBE)

Data for an optimized crystal structure of KBaMo.

- Magnetic moment: 4.8 μB per formula unit

Cell lengths 8.4565, 8.4565, 8.4565 Å; angles 90.00, 90.00, 90.00 degrees
Closest atoms and distances in Å follow each position.
Space group F-43m (No. 216)
Symmetry-distinct sites (fractional):
K 0.0000 0.0000 0.0000 (multiplicity 4)  4 Mo 3.66
Ba 0.0000 0.0000 0.5000 (multiplicity 4)  4 Mo 3.66
Mo 0.2500 0.2500 0.2500 (multiplicity 4)  4 Ba 3.66, 4 K 3.66

(C)
## KBaMo (PBE)

Data for an optimized crystal structure of KBaMo.

- Magnetic moment: 3.6 μB per formula unit

Cell lengths 4.0063, 4.0063, 16.3314 Å; angles 90.00, 90.00, 90.00 degrees
Closest atoms and distances in Å follow each position.
Space group I4mm (No. 107)
Symmetry-distinct sites (fractional):
K 0.0000 0.0000 0.0000 (multiplicity 2)  4 Mo 3.70, 4 K 4.01
Ba 0.0000 0.0000 0.7395 (multiplicity 2)  4 Mo 3.40
Mo 0.0000 0.0000 0.3547 (multiplicity 2)  4 Ba 3.40, 4 K 3.70

Top of the stability list: (C), leading by 110 meV/atom.

(A)
## K3BaN (PBE)

Data for an optimized crystal structure of K3BaN.

- Magnetic moment: 0.0 μB per formula unit

Cell lengths 5.9890, 5.9890, 5.9890 Å; angles 90.00, 90.00, 90.00 degrees
Closest atoms and distances in Å follow each position.
Space group Pm-3m (No. 221)
Symmetry-distinct sites (fractional):
K 0.0000 0.0000 0.5000 (multiplicity 3)  2 N 2.99
Ba 0.5000 0.5000 0.5000 (multiplicity 1)  12 K 4.23
N 0.0000 0.0000 0.0000 (multiplicity 1)  6 K 2.99

(B)
## K3BaN (PBE)

Data for an optimized crystal structure of K3BaN.

- Magnetic moment: 4.0 μB per formula unit

Cell lengths 8.5617, 8.5617, 8.5617 Å; angles 90.00, 90.00, 90.00 degrees
Closest atoms and distances in Å follow each position.
Space group Pm-3m (No. 221)
Symmetry-distinct sites (fractional):
K 0.0000 0.0000 0.5000 (multiplicity 3)  2 Ba 4.28
Ba 0.0000 0.0000 0.0000 (multiplicity 1)  6 K 4.28
N 0.5000 0.5000 0.5000 (multiplicity 1)  none within 6

Top of the stability list: (A), leading by 806 meV/atom.